An optimized crystal structure of CoMoRh2. Source: Alexandria, functional PBE. Values from VASP.

```
&SYSTEM
  ibrav = 0, nat = 4, ntyp = 3
/
ATOMIC_SPECIES
Rh 102.91 Rh.upf
Co 58.93 Co.upf
Mo 95.94 Mo.upf
CELL_PARAMETERS angstrom
4.657 0.001 -0.004
3.872 2.587 -0.004
0.781 0.237 4.575
ATOMIC_POSITIONS crystal
Rh 0.497 0.497 0.507
Rh 0.003 0.003 0.993
Co 0.750 0.750 0.750
Mo 0.250 0.250 0.250
```

Calculated values
V in Å³ per cell: 55.1
Space group: C2/m
Electronic total energy in eV per cell: -32.71